Record 1
First-principles (PBE-GGA) data for a geometry-optimized Sc2BiRh4 structure, as listed in Alexandria.

Output
* space group: No. 166
* uncorrected energy: -6.98 eV/atom
* size of the total moment: 0.00 μB per formula unit

Lattice parameters (Å, degrees): 7.7864 7.7864 7.7864 33.47 33.47 33.47
Element x y z (fractional)
Sc 0.2430 0.2430 0.2430
Sc 0.7570 0.7570 0.7570
Bi 0.0000 0.0000 0.0000
Rh 0.1273 0.1273 0.1273
Rh 0.3786 0.3786 0.3786
Rh 0.6214 0.6214 0.6214
Rh 0.8727 0.8727 0.8727

Record 2
First-principles (PBE-GGA) data for a geometry-optimized Sc2BiRh2 structure, as listed in Alexandria.

Output
* space group: No. 127
* uncorrected energy: -6.78 eV/atom
* distance to the lowest polymorph of the same formula: 193 meV per atom
* size of the total moment: 0.00 μB per formula unit

Lattice parameters (Å, degrees): 7.9352 7.9352 3.1443 90.00 90.00 90.00
Element x y z (fractional)
Sc 0.1449 0.3551 0.0000
Sc 0.3551 0.8551 0.0000
Sc 0.6449 0.1449 0.0000
Sc 0.8551 0.6449 0.0000
Bi 0.0000 0.0000 0.0000
Bi 0.5000 0.5000 0.0000
Rh 0.1392 0.6392 0.5000
Rh 0.3608 0.1392 0.5000
Rh 0.6392 0.8608 0.5000
Rh 0.8608 0.3608 0.5000

Record 3
First-principles (PBE-GGA) data for a geometry-optimized ScBi2Rh structure, as listed in Alexandria.

Output
* space group: No. 225
* uncorrected energy: -5.54 eV/atom
* size of the total moment: 0.46 μB per formula unit

Lattice parameters (Å, degrees): 7.1193 7.1193 7.1193 90.00 90.00 90.00
Element x y z (fractional)
Sc 0.0000 0.0000 0.0000
Sc 0.0000 0.5000 0.5000
Sc 0.5000 0.0000 0.5000
Sc 0.5000 0.5000 0.0000
Bi 0.2500 0.2500 0.2500
Bi 0.2500 0.2500 0.7500
Bi 0.2500 0.7500 0.2500
Bi 0.2500 0.7500 0.7500
Bi 0.7500 0.2500 0.2500
Bi 0.7500 0.2500 0.7500
Bi 0.7500 0.7500 0.2500
Bi 0.7500 0.7500 0.7500
Rh 0.0000 0.0000 0.5000
Rh 0.0000 0.5000 0.0000
Rh 0.5000 0.0000 0.0000
Rh 0.5000 0.5000 0.5000

Record 4
First-principles (PBE-GGA) data for a geometry-optimized ScBi2Rh structure, as listed in Alexandria.

Output
* space group: No. 166
* uncorrected energy: -5.36 eV/atom
* size of the total moment: 0.00 μB per formula unit

Lattice parameters (Å, degrees): 3.4779 3.4779 29.4906 90.00 90.00 120.00
Element x y z (fractional)
Sc 0.0000 0.0000 0.0000
Sc 0.3333 0.6667 0.6667
Sc 0.6667 0.3333 0.3333
Bi 0.0000 0.0000 0.1008
Bi 0.0000 0.0000 0.8992
Bi 0.3333 0.6667 0.5659
Bi 0.3333 0.6667 0.7675
Bi 0.6667 0.3333 0.2325
Bi 0.6667 0.3333 0.4341
Rh 0.0000 0.0000 0.5000
Rh 0.3333 0.6667 0.1667
Rh 0.6667 0.3333 0.8333

Record 5
First-principles (PBE-GGA) data for a geometry-optimized ScBi2Rh structure, as listed in Alexandria.

Output
* space group: No. 122
* uncorrected energy: -5.44 eV/atom
* size of the total moment: 0.00 μB per formula unit

Lattice parameters (Å, degrees): 4.5757 4.5757 19.2573 90.00 90.00 90.00
Element x y z (fractional)
Sc 0.0000 0.0000 0.0000
Sc 0.0000 0.5000 0.2500
Sc 0.5000 0.0000 0.7500
Sc 0.5000 0.5000 0.5000
Bi 0.2322 0.2500 0.6250
Bi 0.2500 0.7322 0.8750
Bi 0.2500 0.7678 0.3750
Bi 0.2678 0.2500 0.1250
Bi 0.7322 0.7500 0.1250
Bi 0.7500 0.2322 0.3750
Bi 0.7500 0.2678 0.8750
Bi 0.7678 0.7500 0.6250
Rh 0.0000 0.0000 0.5000
Rh 0.0000 0.5000 0.7500
Rh 0.5000 0.0000 0.2500
Rh 0.5000 0.5000 0.0000

Record 6
First-principles (PBE-GGA) data for a geometry-optimized ScBiRh2 structure, as listed in Alexandria.

Output
* space group: No. 122
* uncorrected energy: -6.34 eV/atom
* size of the total moment: 0.00 μB per formula unit

Lattice parameters (Å, degrees): 4.3074 4.3074 17.6207 90.00 90.00 90.00
Element x y z (fractional)
Sc 0.0000 0.0000 0.0000
Sc 0.0000 0.5000 0.2500
Sc 0.5000 0.0000 0.7500
Sc 0.5000 0.5000 0.5000
Bi 0.0000 0.0000 0.5000
Bi 0.0000 0.5000 0.7500
Bi 0.5000 0.0000 0.2500
Bi 0.5000 0.5000 0.0000
Rh 0.2289 0.2500 0.1250
Rh 0.2500 0.7289 0.3750
Rh 0.2500 0.7711 0.8750
Rh 0.2711 0.2500 0.6250
Rh 0.7289 0.7500 0.6250
Rh 0.7500 0.2289 0.8750
Rh 0.7500 0.2711 0.3750
Rh 0.7711 0.7500 0.1250

How do the records compare in volume? In the order shown, they have 127.9 99.0 90.2 103.0 100.8 81.7 Å³/f.u..
How do the records compare in calculated formation energy? In the order shown, they have -0.41 -0.53 -0.18 0.01 -0.08 -0.12 eV/atom.